Material: SmCuTePbSe2
Method: DFT, PBE
State: optimized geometry

Structure (POSCAR):
```
SmCuTePbSe2
1.0
2.0768 -7.0480 0.0000
2.0768 7.0480 0.0000
0.0000 0.0000 11.2540
Sm Cu Te Pb Se
2 2 2 2 4
Cartesian
0.0000 0.0000 0.0000
0.0000 0.0000 5.6270
2.0768 0.3952 8.4405
2.0768 -0.3952 2.8135
2.0768 5.7235 8.4405
2.0768 -5.7235 2.8135
2.0768 3.9455 2.8135
2.0768 -3.9455 8.4405
2.0768 1.8904 6.4560
2.0768 1.8904 10.4251
2.0768 -1.8904 0.8290
2.0768 -1.8904 4.7980
```

total energy	-55.43	eV/cell
mass density	7.12	g/cm3
M_tot	0.000	μB/atom